# 1
{
  "formula": "Tm3ThCo",
  "functional": "PBE",
  "state": "optimized geometry",
  "polymorph_energy_ev_per_atom": 0.171,
  "space_group": "No. 221",
  "formation_energy_ev_per_atom": 0.03,
  "lattice_angstrom": [[-2.781, -3.110, 3.089], [0.412, -3.828, -3.483], [4.364, -1.621, 2.297]],
  "species": ["Tm", "Tm", "Tm", "Th", "Co"],
  "frac_coords": [[0.500, 0.000, 0.000], [0.000, 0.500, 0.000], [0.000, 0.000, 0.500], [0.500, 0.500, 0.500], [0.000, 0.000, 0.000]]
}


# 2
{
  "formula": "PRhC2",
  "functional": "PBE",
  "state": "optimized geometry",
  "space_group": "No. 38",
  "formation_energy_ev_per_atom": 0.44,
  "lattice_angstrom": [[2.665, 0.000, 0.000], [0.000, 2.843, 0.000], [0.000, 0.000, 11.588]],
  "species": ["P", "P", "C", "C", "C", "C", "Rh", "Rh"],
  "frac_coords": [[0.000, 0.000, 0.770], [0.000, 0.500, 0.270], [0.500, 0.000, 0.098], [0.000, 0.500, 0.663], [0.000, 0.000, 0.163], [0.500, 0.500, 0.598], [0.500, 0.000, 0.925], [0.500, 0.500, 0.425]]
}


# 3
{
  "formula": "Ac2BiO2",
  "functional": "PBE",
  "state": "optimized geometry",
  "space_group": "No. 123",
  "e_form_raw_kj_per_mol_atoms": -200.9,
  "lattice_angstrom": [[4.003, 0.000, 0.000], [0.000, 4.003, 0.000], [0.000, 0.000, 8.029]],
  "species": ["Ac", "Ac", "O", "O", "Bi"],
  "frac_coords": [[0.500, 0.500, 0.309], [0.500, 0.500, 0.691], [0.000, 0.500, 0.500], [0.500, 0.000, 0.500], [0.000, 0.000, 0.000]]
}


# 4
{
  "formula": "CaSiAg",
  "functional": "PBE",
  "state": "optimized geometry",
  "space_group": "No. 63",
  "e_form_raw_kj_per_mol_atoms": -34.2,
  "lattice_angstrom": [[-1.480, 0.662, 3.423], [-0.468, -4.158, 0.601], [7.676, 1.716, 2.986]],
  "species": ["Si", "Si", "Ag", "Ag", "Ca", "Ca"],
  "frac_coords": [[0.250, 0.543, 0.086], [0.750, 0.457, 0.914], [0.750, 0.293, 0.586], [0.250, 0.707, 0.414], [0.250, 0.894, 0.788], [0.750, 0.106, 0.212]]
}


# 5
{
  "formula": "VTeAsSe2",
  "functional": "PBE",
  "state": "optimized geometry",
  "polymorph_energy_ev_per_atom": 0.000,
  "space_group": "No. 123",
  "e_form_raw_kj_per_mol_atoms": 12.1,
  "lattice_angstrom": [[-4.552, 0.805, 0.756], [-0.544, -4.426, 1.436], [1.070, 1.455, 4.889]],
  "species": ["Se", "Se", "V", "Te", "As"],
  "frac_coords": [[0.000, 0.500, 0.000], [0.500, 0.000, 0.000], [0.000, 0.000, 0.000], [0.500, 0.500, 0.500], [0.000, 0.000, 0.500]]
}


# 6
{
  "formula": "Ce15PaAl4",
  "functional": "PBE",
  "state": "optimized geometry",
  "space_group": "No. 123",
  "formation_energy_ev_per_atom": -0.11,
  "lattice_angstrom": [[-3.370, -0.050, -3.205], [2.829, -2.233, -2.940], [-7.640, -20.672, 8.352]],
  "species": ["Al", "Al", "Al", "Al", "Ce", "Ce", "Ce", "Ce", "Ce", "Ce", "Ce", "Ce", "Ce", "Ce", "Ce", "Ce", "Ce", "Ce", "Ce", "Pa"],
  "frac_coords": [[0.000, 0.000, 0.201], [0.000, 0.000, 0.400], [0.000, 0.000, 0.799], [0.000, 0.000, 0.600], [0.500, 0.500, 0.599], [0.500, 0.500, 0.802], [0.500, 0.000, 0.699], [0.000, 0.500, 0.301], [0.000, 0.500, 0.500], [0.500, 0.000, 0.500], [0.000, 0.500, 0.102], [0.500, 0.000, 0.898], [0.500, 0.500, 0.401], [0.500, 0.000, 0.102], [0.500, 0.500, 0.000], [0.000, 0.500, 0.898], [0.000, 0.500, 0.699], [0.500, 0.500, 0.198], [0.500, 0.000, 0.301], [0.000, 0.000, 0.000]]
}


Calculated N(E_F), 8.49, 2.18, 1.92, 2.10, 4.46, 57.84 states/eV per cell (same order as the records).